Entry 1:
Mg3Tl6Pb2 | PBE | relaxed

Cell and atoms, written as POSCAR:
```
Mg3Tl6Pb2
1.0
-3.0737 0.4992 -1.5993
-2.9489 0.1429 1.8810
1.1738 28.8181 2.9086
Mg Tl Pb
3 6 2
Direct
0.0000 0.0000 0.0000 Mg
0.7219 0.7219 0.8342 Mg
0.2781 0.2781 0.1658 Mg
0.9161 0.9161 0.2517 Tl
0.0839 0.0839 0.7483 Tl
0.8165 0.8165 0.5505 Tl
0.1835 0.1835 0.4495 Tl
0.6389 0.6389 0.0834 Tl
0.3611 0.3611 0.9166 Tl
0.5503 0.5503 0.3490 Pb
0.4497 0.4497 0.6510 Pb
```

ΔH_f (0 K): -0.01 eV per atom

Entry 2:
Mg2TlPb8 | PBE | relaxed

Cell and atoms, written as POSCAR:
```
Mg2TlPb8
1.0
4.6794 0.0000 -1.3451
-0.8192 7.4684 -2.8496
0.0994 0.4433 9.1576
Mg Tl Pb
2 1 8
Direct
0.2270 0.6352 0.4540 Mg
0.7730 0.3648 0.5460 Mg
0.5000 0.0000 0.0000 Tl
0.6013 0.4637 0.2026 Pb
0.3171 0.0906 0.6343 Pb
0.1462 0.2029 0.2925 Pb
0.0437 0.7242 0.0874 Pb
0.8538 0.7971 0.7075 Pb
0.6829 0.9094 0.3657 Pb
0.3987 0.5363 0.7974 Pb
0.9563 0.2758 0.9126 Pb
```

ΔH_f (0 K): -0.01 eV per atom
ΔE to the lowest computed polymorph: 0.0000 eV per atom

Entry 3:
Mg5Tl2Pb5 | PBE | relaxed

Cell and atoms, written as POSCAR:
```
Mg5Tl2Pb5
1.0
4.7008 0.0000 0.0000
-2.3504 7.0270 -0.4558
0.0000 -4.3141 10.1974
Mg Tl Pb
5 2 5
Direct
0.1642 0.3285 0.4931 Mg
0.7444 0.4889 0.7461 Mg
0.2556 0.5111 0.2539 Mg
0.8358 0.6715 0.5069 Mg
0.0000 0.0000 0.0000 Mg
0.0837 0.1675 0.7466 Tl
0.9163 0.8325 0.2534 Tl
0.5000 0.0000 0.5000 Pb
0.6616 0.3232 0.0031 Pb
0.6012 0.2024 0.2633 Pb
0.3988 0.7976 0.7367 Pb
0.3384 0.6768 0.9969 Pb
```

ΔH_f (0 K): -0.01 eV per atom

Entry 4:
Mg7Tl2Pb | PBE | relaxed

Cell and atoms, written as POSCAR:
```
Mg7Tl2Pb
1.0
0.6811 0.9887 -4.7402
-0.6187 -4.7299 -1.0754
-10.4746 3.5006 1.7472
Mg Tl Pb
7 2 1
Direct
0.0950 0.5950 0.1900 Mg
0.4050 0.9050 0.8100 Mg
0.5950 0.0950 0.1900 Mg
0.5000 0.5000 0.0000 Mg
0.7500 0.2500 0.5000 Mg
0.9050 0.4050 0.8100 Mg
0.2500 0.7500 0.5000 Mg
0.6717 0.6717 0.3434 Tl
0.3283 0.3283 0.6566 Tl
0.0000 0.0000 0.0000 Pb
```

ΔH_f (0 K): -0.01 eV per atom
ΔE to the lowest computed polymorph: 0.0000 eV per atom

Entry 5:
MgTl2Pb | PBE | relaxed

Cell and atoms, written as POSCAR:
```
MgTl2Pb
1.0
6.1184 0.2576 0.0000
2.2797 5.6837 0.0000
-4.1990 -2.9707 3.3233
Pb Tl Mg
1 2 1
Direct
0.7500 0.2500 0.5000 Pb
0.0000 0.0000 0.0000 Tl
0.5000 0.5000 0.0000 Tl
0.2500 0.7500 0.5000 Mg
```

ΔH_f (0 K): 0.01 eV per atom

Entry 6:
Mg7Tl3Pb2 | PBE | relaxed

Cell and atoms, written as POSCAR:
```
Mg7Tl3Pb2
1.0
5.3466 0.0000 0.0000
0.0000 5.5125 0.0000
0.0000 -2.7563 11.0096
Mg Tl Pb
7 3 2
Direct
0.0000 0.4271 0.8542 Mg
0.0000 0.7172 0.4344 Mg
0.0000 0.0000 0.0000 Mg
0.0000 0.5729 0.1458 Mg
0.5000 0.0745 0.1490 Mg
0.5000 0.9255 0.8510 Mg
0.0000 0.2828 0.5656 Mg
0.5000 0.5000 0.0000 Tl
0.5000 0.6571 0.3143 Tl
0.5000 0.3429 0.6857 Tl
0.0000 0.8537 0.7074 Pb
0.0000 0.1463 0.2926 Pb
```

ΔH_f (0 K): 0.03 eV per atom
ΔE to the lowest computed polymorph: 0.0035 eV per atom

Entry 7:
Mg12Tl5Pb2 | PBE | relaxed

Cell and atoms, written as POSCAR:
```
Mg12Tl5Pb2
1.0
6.4900 0.0000 0.0000
-3.2450 8.3417 0.3351
0.0000 -2.5348 9.2903
Mg Tl Pb
12 5 2
Direct
0.0973 0.1947 0.2912 Mg
0.0505 0.6027 0.8752 Mg
0.5522 0.6027 0.8752 Mg
0.1132 0.7185 0.3899 Mg
0.6054 0.7185 0.3899 Mg
0.4760 0.9520 0.6716 Mg
0.5240 0.0480 0.3284 Mg
0.8868 0.2815 0.6101 Mg
0.3946 0.2815 0.6101 Mg
0.9495 0.3973 0.1248 Mg
0.4478 0.3973 0.1248 Mg
0.9027 0.8053 0.7088 Mg
0.2895 0.5790 0.5996 Tl
0.3551 0.7102 0.1321 Tl
0.0000 0.0000 0.5000 Tl
0.6449 0.2898 0.8679 Tl
0.7105 0.4210 0.4004 Tl
0.7505 0.0000 0.0000 Pb
0.2495 0.0000 0.0000 Pb
```

ΔH_f (0 K): 0.06 eV per atom
ΔE to the lowest computed polymorph: 0.0668 eV per atom

Entry 8:
Mg15Tl4Pb | PBE | relaxed

Cell and atoms, written as POSCAR:
```
Mg15Tl4Pb
1.0
4.5410 0.0000 0.0000
0.0000 4.5410 0.0000
0.0000 0.0000 22.5708
Mg Tl Pb
15 4 1
Direct
0.5000 0.5000 0.0000 Mg
0.5000 0.5000 0.2020 Mg
0.5000 0.5000 0.4015 Mg
0.5000 0.5000 0.5985 Mg
0.5000 0.5000 0.7980 Mg
0.5000 0.0000 0.1020 Mg
0.5000 0.0000 0.3018 Mg
0.5000 0.0000 0.5000 Mg
0.5000 0.0000 0.6982 Mg
0.5000 0.0000 0.8980 Mg
0.0000 0.5000 0.1020 Mg
0.0000 0.5000 0.3018 Mg
0.0000 0.5000 0.5000 Mg
0.0000 0.5000 0.6982 Mg
0.0000 0.5000 0.8980 Mg
0.0000 0.0000 0.2023 Tl
0.0000 0.0000 0.4010 Tl
0.0000 0.0000 0.5990 Tl
0.0000 0.0000 0.7977 Tl
0.0000 0.0000 0.0000 Pb
```

ΔH_f (0 K): -0.03 eV per atom

Entry 9:
Mg2Tl5Pb | PBE | relaxed

Cell and atoms, written as POSCAR:
```
Mg2Tl5Pb
1.0
-3.0499 -4.1022 -2.0152
5.2779 -1.9338 3.4394
-7.7150 -0.0626 11.8038
Mg Tl Pb
4 10 2
Direct
0.8220 0.6440 0.3670 Mg
0.8220 0.6440 0.1330 Mg
0.1780 0.3560 0.6330 Mg
0.1780 0.3560 0.8670 Mg
0.9227 0.8454 0.8940 Tl
0.9227 0.8454 0.6060 Tl
0.3659 0.7317 0.4791 Tl
0.3659 0.7317 0.0209 Tl
0.5829 0.1658 0.2500 Tl
0.4171 0.8342 0.7500 Tl
0.6341 0.2683 0.5209 Tl
0.6341 0.2683 0.9791 Tl
0.0773 0.1546 0.1060 Tl
0.0773 0.1546 0.3940 Tl
0.6988 0.3976 0.7500 Pb
0.3012 0.6024 0.2500 Pb
```

ΔH_f (0 K): 0.03 eV per atom

Entry 10:
Mg12TlPb2 | PBE | relaxed

Cell and atoms, written as POSCAR:
```
Mg12TlPb2
1.0
6.0098 0.0000 0.0000
0.0000 6.0098 0.0000
0.0000 0.0000 21.7086
Mg Tl Pb
24 2 4
Direct
0.5000 0.5000 0.7991 Mg
0.0000 0.0000 0.7991 Mg
0.7567 0.7433 0.9012 Mg
0.2567 0.7567 0.9012 Mg
0.0000 0.0000 0.3346 Mg
0.2433 0.7433 0.0988 Mg
0.8272 0.3272 0.5634 Mg
0.5000 0.5000 0.3346 Mg
0.2433 0.2567 0.9012 Mg
0.7433 0.7567 0.0988 Mg
0.3272 0.1728 0.5634 Mg
0.6728 0.1728 0.4366 Mg
0.0000 0.0000 0.6654 Mg
0.1728 0.3272 0.4366 Mg
0.2567 0.2433 0.0988 Mg
0.8272 0.6728 0.4366 Mg
0.6728 0.8272 0.5634 Mg
0.0000 0.0000 0.2009 Mg
0.1728 0.6728 0.5634 Mg
0.5000 0.5000 0.6654 Mg
0.7433 0.2433 0.9012 Mg
0.5000 0.5000 0.2009 Mg
0.3272 0.8272 0.4366 Mg
0.7567 0.2567 0.0988 Mg
0.5000 0.0000 0.0000 Tl
0.0000 0.5000 0.0000 Tl
0.5000 0.0000 0.2604 Pb
0.0000 0.5000 0.2604 Pb
0.0000 0.5000 0.7396 Pb
0.5000 0.0000 0.7396 Pb
```

ΔH_f (0 K): 0.13 eV per atom

Entry 11:
Mg8Tl3Pb2 | PBE | relaxed

Cell and atoms, written as POSCAR:
```
Mg8Tl3Pb2
1.0
-2.6053 -5.1979 -1.0496
6.7584 -3.9189 2.6320
-5.1626 3.8483 6.0757
Mg Tl Pb
8 3 2
Direct
0.1564 0.6640 0.3280 Mg
0.8436 0.3360 0.6720 Mg
0.9487 0.1384 0.2769 Mg
0.0513 0.8616 0.7231 Mg
0.5579 0.6641 0.6935 Mg
0.5579 0.0294 0.6935 Mg
0.4421 0.9706 0.3065 Mg
0.4421 0.3359 0.3065 Mg
0.5000 0.0000 0.0000 Tl
0.0000 0.2740 0.0000 Tl
0.0000 0.7260 0.0000 Tl
0.3166 0.3125 0.6251 Pb
0.6834 0.6875 0.3749 Pb
```

ΔH_f (0 K): 0.06 eV per atom
ΔE to the lowest computed polymorph: 0.0457 eV per atom

Entry 12:
MgTl3Pb6 | PBE | relaxed

Cell and atoms, written as POSCAR:
```
MgTl3Pb6
1.0
6.3848 0.0000 0.0000
-3.1924 5.5294 0.0000
0.0000 0.0000 8.9342
Mg Tl Pb
1 3 6
Direct
0.0000 0.0000 0.0000 Mg
0.0000 0.0000 0.5000 Tl
0.6667 0.3333 0.5000 Tl
0.3333 0.6667 0.5000 Tl
0.6034 0.6034 0.8192 Pb
0.0000 0.3966 0.8192 Pb
0.3966 0.0000 0.8192 Pb
0.0000 0.6034 0.1808 Pb
0.3966 0.3966 0.1808 Pb
0.6034 0.0000 0.1808 Pb
```

ΔH_f (0 K): 0.06 eV per atom
ΔE to the lowest computed polymorph: 0.0529 eV per atom